(1)
TaP2Pd meta-GGA SCAN single point on PBEsol structure; DFT total energy = -30.215 eV/atom; energy of formation from the pure elements = -177 meV per atom
1.0
-1.9589 1.3743 -5.0099
-4.3054 -3.4257 0.7437
0.4259 4.8865 4.2503
P Pd Ta
4 2 2
direct
0.3851 0.8750 0.2500 P
0.8649 0.3750 0.2500 P
0.1250 0.1351 0.7500 P
0.6250 0.6149 0.7500 P
0.7500 0.2500 0.5000 Pd
0.5000 0.5000 0.0000 Pd
0.2500 0.7500 0.5000 Ta
0.0000 0.0000 0.0000 Ta

(2)
TaPPd2 meta-GGA SCAN single point on PBEsol structure; DFT total energy = -35.809 eV/atom; energy of formation from the pure elements = -176 meV per atom
1.0
-3.0312 -0.4084 2.0326
1.4446 -2.9984 1.5520
4.5346 6.9382 4.8389
P Pd Ta
2 4 2
direct
0.7500 0.2500 0.5000 P
0.5000 0.5000 0.0000 P
0.3821 0.8750 0.2500 Pd
0.8679 0.3750 0.2500 Pd
0.1250 0.1321 0.7500 Pd
0.6250 0.6179 0.7500 Pd
0.2500 0.7500 0.5000 Ta
0.0000 0.0000 0.0000 Ta

(3)
Tc3PPd meta-GGA SCAN single point on PBEsol structure; DFT total energy = -27.338 eV/atom; energy of formation from the pure elements = 2332 meV per atom
1.0
-3.1922 -3.1266 1.0896
2.6874 -3.3308 -1.6842
1.9340 -0.5323 4.1388
P Tc Pd
1 3 1
direct
0.5000 0.5000 0.5000 P
0.0000 0.5000 0.0000 Tc
0.0000 0.0000 0.5000 Tc
0.5000 0.0000 0.0000 Tc
0.0000 0.0000 0.0000 Pd

(4)
TcPPd3 meta-GGA SCAN single point on PBEsol structure; DFT total energy = -28.457 eV/atom; energy of formation from the pure elements = 299 meV per atom
1.0
4.4082 0.0000 0.0000
0.0000 4.4082 0.0000
0.0000 0.0000 4.4082
P Tc Pd
1 1 3
direct
0.0000 0.0000 0.0000 P
0.5000 0.5000 0.5000 Tc
0.0000 0.5000 0.0000 Pd
0.0000 0.0000 0.5000 Pd
0.5000 0.0000 0.0000 Pd